This record from the Alexandria database describes a relaxed Fe2AsPd crystal. The functional is GGA-PBE.

Unit cell a=3.6432 b=3.6432 c=9.1278 alpha=78.49 beta=78.49 gamma=90.00
With the nearest neighbours (Å) after each atom.
Positions (direct):
Pd: 0.0000 0.0000 0.0000  4 As 2.58, 4 Fe 2.68
As: 0.5000 0.5000 0.0000  4 Fe 2.44, 4 Pd 2.58
Fe: 0.3750 0.4663 0.7500  2 Fe 2.16
Fe: 0.2163 0.6250 0.2500  2 Fe 2.16
As: 0.2500 0.7500 0.5000  4 Fe 2.44, 4 Pd 2.58
Pd: 0.7500 0.2500 0.5000  4 As 2.58, 4 Fe 2.68
Fe: 0.5337 0.1250 0.2500  2 Fe 2.16
Fe: 0.8750 0.7837 0.7500  2 Fe 2.16

Calculated values
Volume, A^3/atom: 14.53
Mass density, g cm⁻³: 8.37
Uncorrected energy, eV per atom: -6.209
N(E_F), states/eV/atom: 3.21
Formation enthalpy at 0 K, eV per atom: 0.483

---

This record from the Alexandria database describes a relaxed La5Y2Ho2 crystal. The functional is GGA-PBE.

Unit cell a=6.3309 b=11.5508 c=9.7126 alpha=146.93 beta=71.16 gamma=122.95
With the nearest neighbours (Å) after each atom.
Positions (direct):
Ho: 0.7771 0.5549 0.8871  9 La 3.62-3.70, 2 Y 3.65-3.66, 1 Ho 3.69
Ho: 0.2229 0.4451 0.1129  9 La 3.62-3.70, 2 Y 3.65-3.66, 1 Ho 3.69
Y: 0.6701 0.3361 0.3358  3 Y 3.62-3.67, 7 La 3.63-3.69, 2 Ho 3.65-3.66
La: 0.5536 0.1093 0.7758  4 Ho 3.62-3.68, 6 La 3.64-3.68, 2 Y 3.66-3.69
La: 0.8903 0.7804 0.4478  4 Ho 3.63-3.70, 6 La 3.64-3.68, 2 Y 3.65-3.68
La: 0.4464 0.8907 0.2242  4 Ho 3.62-3.68, 6 La 3.64-3.68, 2 Y 3.66-3.69
La: 0.1097 0.2196 0.5522  4 Ho 3.63-3.70, 6 La 3.64-3.68, 2 Y 3.65-3.68
La: 0.0000 0.0000 0.0000  6 Y 3.63-3.67, 2 Ho 3.64, 4 La 3.66-3.67
Y: 0.3299 0.6639 0.6642  3 Y 3.62-3.67, 7 La 3.63-3.69, 2 Ho 3.65-3.66

Calculated values
Volume, A^3/atom: 34.57
Mass density, g cm⁻³: 6.42
Uncorrected energy, eV per atom: -5.165
N(E_F), states/eV/atom: 1.71
Excess energy over the best structure of this formula in the dataset, meV/atom: 0
Formation enthalpy at 0 K, eV per atom: 0.026

---

This record from the Alexandria database describes a relaxed Pm4Y3In crystal. The functional is GGA-PBE.

Unit cell a=7.0760 b=7.1384 c=10.0488 alpha=90.00 beta=90.00 gamma=90.00
With the nearest neighbours (Å) after each atom.
Positions (direct):
Y: 0.2600 0.0606 0.2500  8 Pm 3.48-3.60, 2 In 3.52, 2 Y 3.59
Y: 0.2600 0.0606 0.7500  8 Pm 3.48-3.60, 2 In 3.52, 2 Y 3.59
Pm: 0.9993 0.8108 0.0000  2 In 3.53-3.54, 4 Pm 3.55, 6 Y 3.57-3.59
Pm: 0.5002 0.3103 0.0000  6 Y 3.52-3.54, 4 Pm 3.56, 2 In 3.57
Y: 0.7400 0.5606 0.7500  8 Pm 3.48-3.60, 2 In 3.52, 2 Y 3.59
In: 0.4998 0.8105 0.0000  4 Y 3.52, 8 Pm 3.53-3.57
Pm: 0.0007 0.3108 0.5000  2 In 3.53-3.54, 4 Pm 3.55, 6 Y 3.57-3.59
Y: 0.7400 0.5606 0.2500  8 Pm 3.48-3.60, 2 In 3.52, 2 Y 3.59
Pm: 0.7513 0.0607 0.2503  6 Y 3.48-3.60, 4 Pm 3.55-3.56, 2 In 3.55-3.56
Pm: 0.7513 0.0607 0.7497  6 Y 3.48-3.60, 4 Pm 3.55-3.56, 2 In 3.55-3.56
Pm: 0.4998 0.8103 0.5000  6 Y 3.52-3.54, 4 Pm 3.56, 2 In 3.57
Y: 0.0001 0.8105 0.5000  8 Pm 3.54-3.57, 4 Y 3.59
Pm: 0.2487 0.5607 0.2497  6 Y 3.48-3.60, 4 Pm 3.55-3.56, 2 In 3.55-3.56
Pm: 0.2487 0.5607 0.7503  6 Y 3.48-3.60, 4 Pm 3.55-3.56, 2 In 3.55-3.56
Y: 0.9999 0.3105 0.0000  8 Pm 3.54-3.57, 4 Y 3.59
In: 0.5002 0.3105 0.5000  4 Y 3.52, 8 Pm 3.53-3.57

Calculated values
Volume, A^3/atom: 31.72
Mass density, g cm⁻³: 6.29
Uncorrected energy, eV per atom: -5.223
N(E_F), states/eV/atom: 1.50
Formation enthalpy at 0 K, eV per atom: -0.081

---

The highest mass density belongs to which entry?
Fe2AsPd

---

The highest formation enthalpy at 0 K belongs to which entry?
Fe2AsPd

---

Repeat the second record exactly.
This record from the Alexandria database describes a relaxed La5Y2Ho2 crystal. The functional is GGA-PBE.

Unit cell a=6.3309 b=11.5508 c=9.7126 alpha=146.93 beta=71.16 gamma=122.95
With the nearest neighbours (Å) after each atom.
Positions (direct):
Ho: 0.7771 0.5549 0.8871  9 La 3.62-3.70, 2 Y 3.65-3.66, 1 Ho 3.69
Ho: 0.2229 0.4451 0.1129  9 La 3.62-3.70, 2 Y 3.65-3.66, 1 Ho 3.69
Y: 0.6701 0.3361 0.3358  3 Y 3.62-3.67, 7 La 3.63-3.69, 2 Ho 3.65-3.66
La: 0.5536 0.1093 0.7758  4 Ho 3.62-3.68, 6 La 3.64-3.68, 2 Y 3.66-3.69
La: 0.8903 0.7804 0.4478  4 Ho 3.63-3.70, 6 La 3.64-3.68, 2 Y 3.65-3.68
La: 0.4464 0.8907 0.2242  4 Ho 3.62-3.68, 6 La 3.64-3.68, 2 Y 3.66-3.69
La: 0.1097 0.2196 0.5522  4 Ho 3.63-3.70, 6 La 3.64-3.68, 2 Y 3.65-3.68
La: 0.0000 0.0000 0.0000  6 Y 3.63-3.67, 2 Ho 3.64, 4 La 3.66-3.67
Y: 0.3299 0.6639 0.6642  3 Y 3.62-3.67, 7 La 3.63-3.69, 2 Ho 3.65-3.66

Calculated values
Volume, A^3/atom: 34.57
Mass density, g cm⁻³: 6.42
Uncorrected energy, eV per atom: -5.165
N(E_F), states/eV/atom: 1.71
Excess energy over the best structure of this formula in the dataset, meV/atom: 0
Formation enthalpy at 0 K, eV per atom: 0.026